[1]
# NaBeIn | Alexandria | PBE-GGA | relaxed
data_NaBeIn
_symmetry_space_group_name_H-M 'C 1 2/m 1'
_symmetry_Int_Tables_number 12
_cell_length_a 6.574
_cell_length_b 3.884
_cell_length_c 11.269
_cell_angle_alpha 90.00
_cell_angle_beta 100.39
_cell_angle_gamma 90.00
loop_
_symmetry_equiv_pos_as_xyz
'x,y,z'
'-x,-y,-z'
'-x,y,-z'
'x,-y,z'
'x+1/2,y+1/2,z'
'-x+1/2,-y+1/2,-z'
'-x+1/2,y+1/2,-z'
'x+1/2,-y+1/2,z'
loop_
_atom_site_label
_atom_site_fract_x
_atom_site_fract_y
_atom_site_fract_z
_atom_site_occupancy
Na1 0.224 0.000 0.142 1
Be1 0.168 0.500 0.501 1
In1 0.045 0.000 0.645 1
# energy above the most stable polymorph in this dataset	14.6	meV/atom
# electronic total energy	-2.46	eV per atom
# magnetic moment	0.00	μB per formula unit
# D(E_F)	0.15	states/eV per atom
# formation enthalpy at 0 K	136	meV per atom
# mass density	3.45	g/cm3

=====

[2]
# Na2BeIn | Alexandria | PBE-GGA | relaxed
data_Na2BeIn
_symmetry_space_group_name_H-M 'I -4 2 d'
_symmetry_Int_Tables_number 122
_symmetry_space_group_name_Hall 'I -4 2bw'
_cell_length_a 10.441
_cell_length_b 10.441
_cell_length_c 4.634
_cell_angle_alpha 90.00
_cell_angle_beta 90.00
_cell_angle_gamma 90.00
loop_
_atom_site_label
_atom_site_fract_x
_atom_site_fract_y
_atom_site_fract_z
_atom_site_occupancy
Na1 0.099 0.750 0.125 1
Be1 0.000 0.000 0.000 1
In1 0.000 0.000 0.500 1
# energy above the most stable polymorph in this dataset	0.0	meV/atom
# electronic total energy	-1.92	eV per atom
# magnetic moment	0.00	μB per formula unit
# D(E_F)	0.43	states/eV per atom
# formation enthalpy at 0 K	360	meV per atom
# mass density	2.23	g/cm3

=====

[3]
# Na3BeIn | Alexandria | PBE-GGA | relaxed
data_Na3BeIn
_symmetry_space_group_name_H-M 'P m -3 m'
_symmetry_Int_Tables_number 221
_symmetry_space_group_name_Hall '-P 4 2 3'
_cell_length_a 5.379
_cell_length_b 5.379
_cell_length_c 5.379
_cell_angle_alpha 90.00
_cell_angle_beta 90.00
_cell_angle_gamma 90.00
loop_
_atom_site_label
_atom_site_fract_x
_atom_site_fract_y
_atom_site_fract_z
_atom_site_occupancy
Na1 0.000 0.000 0.500 1
Be1 0.000 0.000 0.000 1
In1 0.500 0.500 0.500 1
# energy above the most stable polymorph in this dataset	0.0	meV/atom
# electronic total energy	-1.54	eV per atom
# magnetic moment	0.00	μB per formula unit
# D(E_F)	0.59	states/eV per atom
# formation enthalpy at 0 K	544	meV per atom
# mass density	2.06	g/cm3

=====

[4]
# NaBeIn | Alexandria | PBE-GGA | relaxed
data_NaBeIn
_symmetry_space_group_name_H-M 'C 1 m 1'
_symmetry_Int_Tables_number 8
_cell_length_a 7.053
_cell_length_b 4.086
_cell_length_c 10.676
_cell_angle_alpha 90.00
_cell_angle_beta 102.28
_cell_angle_gamma 90.00
loop_
_symmetry_equiv_pos_as_xyz
'x,y,z'
'x,-y,z'
'x+1/2,y+1/2,z'
'x+1/2,-y+1/2,z'
loop_
_atom_site_label
_atom_site_fract_x
_atom_site_fract_y
_atom_site_fract_z
_atom_site_occupancy
Na1 0.000 0.000 0.000 1
Na2 0.237 0.000 0.713 1
Be1 0.097 0.000 0.307 1
Be2 0.251 0.500 0.257 1
In1 0.334 0.500 0.495 1
In2 0.403 0.000 0.213 1
# energy above the most stable polymorph in this dataset	103.7	meV/atom
# electronic total energy	-2.37	eV per atom
# magnetic moment	0.00	μB per formula unit
# D(E_F)	0.33	states/eV per atom
# formation enthalpy at 0 K	225	meV per atom
# mass density	3.24	g/cm3

=====

[5]
# NaBeIn | Alexandria | PBE-GGA | relaxed
data_NaBeIn
_symmetry_space_group_name_H-M 'C m c m'
_symmetry_Int_Tables_number 63
_symmetry_space_group_name_Hall '-C 2c 2'
_cell_length_a 4.234
_cell_length_b 15.157
_cell_length_c 4.153
_cell_angle_alpha 90.00
_cell_angle_beta 90.00
_cell_angle_gamma 90.00
loop_
_atom_site_label
_atom_site_fract_x
_atom_site_fract_y
_atom_site_fract_z
_atom_site_occupancy
Na1 0.000 0.186 0.250 1
Be1 0.000 0.000 0.000 1
In1 0.000 0.416 0.250 1
# energy above the most stable polymorph in this dataset	73.8	meV/atom
# electronic total energy	-2.40	eV per atom
# magnetic moment	0.00	μB per formula unit
# D(E_F)	0.24	states/eV per atom
# formation enthalpy at 0 K	196	meV per atom
# mass density	3.66	g/cm3

=====

[6]
# NaBeIn | Alexandria | PBE-GGA | relaxed
data_NaBeIn
_symmetry_space_group_name_H-M 'P 1 21/m 1'
_symmetry_Int_Tables_number 11
_cell_length_a 4.932
_cell_length_b 4.151
_cell_length_c 6.561
_cell_angle_alpha 90.00
_cell_angle_beta 100.91
_cell_angle_gamma 90.00
loop_
_symmetry_equiv_pos_as_xyz
'x,y,z'
'-x,-y,-z'
'-x,y+1/2,-z'
'x,-y+1/2,z'
loop_
_atom_site_label
_atom_site_fract_x
_atom_site_fract_y
_atom_site_fract_z
_atom_site_occupancy
Na1 0.242 0.250 0.459 1
Be1 0.101 0.250 0.996 1
In1 0.340 0.750 0.859 1
# energy above the most stable polymorph in this dataset	83.0	meV/atom
# electronic total energy	-2.39	eV per atom
# magnetic moment	0.00	μB per formula unit
# D(E_F)	0.29	states/eV per atom
# formation enthalpy at 0 K	205	meV per atom
# mass density	3.70	g/cm3

=====

[7]
# NaBeIn | Alexandria | PBE-GGA | relaxed
data_NaBeIn
_symmetry_space_group_name_H-M 'C 1 m 1'
_symmetry_Int_Tables_number 8
_cell_length_a 7.056
_cell_length_b 4.097
_cell_length_c 10.773
_cell_angle_alpha 90.00
_cell_angle_beta 103.01
_cell_angle_gamma 90.00
loop_
_symmetry_equiv_pos_as_xyz
'x,y,z'
'x,-y,z'
'x+1/2,y+1/2,z'
'x+1/2,-y+1/2,z'
loop_
_atom_site_label
_atom_site_fract_x
_atom_site_fract_y
_atom_site_fract_z
_atom_site_occupancy
Na1 0.000 0.000 0.000 1
Na2 0.234 0.000 0.707 1
Be1 0.128 0.000 0.404 1
Be2 0.315 0.500 0.454 1
In1 0.239 0.500 0.217 1
In2 0.494 0.000 0.494 1
# energy above the most stable polymorph in this dataset	105.7	meV/atom
# electronic total energy	-2.37	eV per atom
# magnetic moment	0.00	μB per formula unit
# D(E_F)	0.30	states/eV per atom
# formation enthalpy at 0 K	227	meV per atom
# mass density	3.21	g/cm3

=====

[8]
# NaBeIn | Alexandria | PBE-GGA | relaxed
data_NaBeIn
_symmetry_space_group_name_H-M 'P 1 21/m 1'
_symmetry_Int_Tables_number 11
_cell_length_a 4.779
_cell_length_b 3.967
_cell_length_c 7.009
_cell_angle_alpha 90.00
_cell_angle_beta 98.80
_cell_angle_gamma 90.00
loop_
_symmetry_equiv_pos_as_xyz
'x,y,z'
'-x,-y,-z'
'-x,y+1/2,-z'
'x,-y+1/2,z'
loop_
_atom_site_label
_atom_site_fract_x
_atom_site_fract_y
_atom_site_fract_z
_atom_site_occupancy
Na1 0.231 0.250 0.358 1
Be1 0.115 0.750 0.024 1
In1 0.342 0.250 0.846 1
# energy above the most stable polymorph in this dataset	0.0	meV/atom
# electronic total energy	-2.47	eV per atom
# magnetic moment	0.00	μB per formula unit
# D(E_F)	0.25	states/eV per atom
# formation enthalpy at 0 K	122	meV per atom
# mass density	3.71	g/cm3

=====

[9]
# Na2Be2InO4 | Alexandria | PBE-GGA | relaxed
data_Na2Be2InO4
_symmetry_space_group_name_H-M 'C 1 2/m 1'
_symmetry_Int_Tables_number 12
_cell_length_a 10.083
_cell_length_b 2.961
_cell_length_c 8.885
_cell_angle_alpha 90.00
_cell_angle_beta 120.68
_cell_angle_gamma 90.00
loop_
_symmetry_equiv_pos_as_xyz
'x,y,z'
'-x,-y,-z'
'-x,y,-z'
'x,-y,z'
'x+1/2,y+1/2,z'
'-x+1/2,-y+1/2,-z'
'-x+1/2,y+1/2,-z'
'x+1/2,-y+1/2,z'
loop_
_atom_site_label
_atom_site_fract_x
_atom_site_fract_y
_atom_site_fract_z
_atom_site_occupancy
Na1 0.068 0.000 0.187 1
Be1 0.209 0.500 0.890 1
In1 0.000 0.000 0.500 1
O1 0.049 0.500 0.702 1
O2 0.191 0.500 0.068 1
# electronic total energy	-5.41	eV per atom
# magnetic moment	0.00	μB per formula unit
# D(E_F)	0.16	states/eV per atom
# formation energy from raw total energies	-1.78	eV/atom
# mass density	3.53	g/cm3

=====

[10]
# Na4BeIn3O8 | Alexandria | PBE-GGA | relaxed
data_Na4BeIn3O8
_symmetry_space_group_name_H-M 'C 1 2/m 1'
_symmetry_Int_Tables_number 12
_cell_length_a 11.400
_cell_length_b 6.229
_cell_length_c 6.563
_cell_angle_alpha 90.00
_cell_angle_beta 122.62
_cell_angle_gamma 90.00
loop_
_symmetry_equiv_pos_as_xyz
'x,y,z'
'-x,-y,-z'
'-x,y,-z'
'x,-y,z'
'x+1/2,y+1/2,z'
'-x+1/2,-y+1/2,-z'
'-x+1/2,y+1/2,-z'
'x+1/2,-y+1/2,z'
loop_
_atom_site_label
_atom_site_fract_x
_atom_site_fract_y
_atom_site_fract_z
_atom_site_occupancy
Na1 0.000 0.000 0.000 1
Na2 0.000 0.500 0.000 1
Na3 0.250 0.250 0.000 1
Be1 0.000 0.000 0.500 1
In1 0.000 0.500 0.500 1
In2 0.250 0.250 0.500 1
O1 0.013 0.212 0.319 1
O2 0.233 0.500 0.259 1
O3 0.235 0.500 0.720 1
# electronic total energy	-5.08	eV per atom
# magnetic moment	0.99	μB per formula unit
# D(E_F)	0.56	states/eV per atom
# formation energy from raw total energies	-1.52	eV/atom
# mass density	4.85	g/cm3

=====

[11]
# NaBeIn2Tc | Alexandria | PBE-GGA | relaxed
data_NaBeIn2Tc
_symmetry_space_group_name_H-M 'P 4/m m m'
_symmetry_Int_Tables_number 123
_symmetry_space_group_name_Hall '-P 4 2'
_cell_length_a 4.773
_cell_length_b 4.773
_cell_length_c 4.335
_cell_angle_alpha 90.00
_cell_angle_beta 90.00
_cell_angle_gamma 90.00
loop_
_atom_site_label
_atom_site_fract_x
_atom_site_fract_y
_atom_site_fract_z
_atom_site_occupancy
Na1 0.000 0.000 0.000 1
Be1 0.500 0.500 0.500 1
In1 0.000 0.500 0.500 1
Tc1 0.500 0.500 0.000 1
# electronic total energy	-3.65	eV per atom
# magnetic moment	0.94	μB per formula unit
# D(E_F)	0.75	states/eV per atom
# formation enthalpy at 0 K	523	meV per atom
# mass density	6.05	g/cm3

=====

[12]
# NaBe2VIn | Alexandria | PBE-GGA | relaxed
data_NaBe2VIn
_symmetry_space_group_name_H-M 'P 4/m m m'
_symmetry_Int_Tables_number 123
_symmetry_space_group_name_Hall '-P 4 2'
_cell_length_a 4.568
_cell_length_b 4.568
_cell_length_c 5.094
_cell_angle_alpha 90.00
_cell_angle_beta 90.00
_cell_angle_gamma 90.00
loop_
_atom_site_label
_atom_site_fract_x
_atom_site_fract_y
_atom_site_fract_z
_atom_site_occupancy
Na1 0.000 0.000 0.000 1
Be1 0.000 0.500 0.500 1
V1 0.500 0.500 0.000 1
In1 0.500 0.500 0.500 1
# electronic total energy	-2.82	eV per atom
# magnetic moment	0.00	μB per formula unit
# D(E_F)	1.30	states/eV per atom
# formation enthalpy at 0 K	1304	meV per atom
# mass density	3.23	g/cm3

=====

> Which of these has the lowest D(E_F)?

number 1